[1]
! Er4P3Se PBE-GGA optimized geometry; values from VASP
! Uncorrected formation energy   -1298 kJ/mol of formula units
! Density of states at the Fermi level   3.007 states/eV/cell
! Energy above the most stable polymorph in this dataset   0.37 kcal/mol of atoms
! Total magnetic moment   0.00 μB/atom
! VASP energy   -51.4 eV/cell
&SYSTEM
  ibrav = 0, nat = 8, ntyp = 3
/
ATOMIC_SPECIES
Er 167.26 Er.upf
P 30.97 P.upf
Se 78.96 Se.upf
CELL_PARAMETERS angstrom
5.633 0.000 0.000
0.000 5.633 0.000
0.000 0.000 5.633
ATOMIC_POSITIONS crystal
Er 0.000 0.000 0.000
Er 0.000 0.500 0.500
Er 0.500 0.000 0.500
Er 0.500 0.500 0.000
P 0.000 0.000 0.500
P 0.000 0.500 0.000
P 0.500 0.000 0.000
Se 0.500 0.500 0.500

[2]
! Er5PSe5 PBE-GGA optimized geometry; values from VASP
! Uncorrected formation energy   -1941 kJ/mol of formula units
! Density of states at the Fermi level   3.329 states/eV/cell
! Total magnetic moment   0.00 μB/atom
! VASP energy   -65.8 eV/cell
&SYSTEM
  ibrav = 0, nat = 11, ntyp = 3
/
ATOMIC_SPECIES
Er 167.26 Er.upf
P 30.97 P.upf
Se 78.96 Se.upf
CELL_PARAMETERS angstrom
6.358 -2.843 0.000
6.358 2.843 0.000
-2.548 0.000 7.599
ATOMIC_POSITIONS crystal
Er 0.000 0.000 0.000
Er 0.340 0.340 0.674
Er 0.342 0.342 0.167
Er 0.658 0.658 0.833
Er 0.660 0.660 0.326
P 0.500 0.500 0.000
Se 0.168 0.168 0.832
Se 0.169 0.169 0.335
Se 0.500 0.500 0.500
Se 0.831 0.831 0.665
Se 0.832 0.832 0.168

[3]
! Er2PSe PBE-GGA optimized geometry; values from VASP
! Uncorrected formation energy   -655 kJ/mol of formula units
! Density of states at the Fermi level   2.371 states/eV/cell
! Energy above the most stable polymorph in this dataset   1.45 kcal/mol of atoms
! Total magnetic moment   0.00 μB/atom
! VASP energy   -24.8 eV/cell
&SYSTEM
  ibrav = 0, nat = 4, ntyp = 3
/
ATOMIC_SPECIES
Er 167.26 Er.upf
P 30.97 P.upf
Se 78.96 Se.upf
CELL_PARAMETERS angstrom
1.964 1.134 6.903
-1.964 1.134 6.903
0.000 -2.268 6.903
ATOMIC_POSITIONS crystal
Er 0.000 0.000 0.000
Er 0.185 0.185 0.185
P 0.594 0.594 0.594
Se 0.425 0.425 0.425

[4]
! Er8PSe6 PBE-GGA optimized geometry; values from VASP
! Uncorrected formation energy   -1803 kJ/mol of formula units
! Density of states at the Fermi level   10.012 states/eV/cell
! Total magnetic moment   0.00 μB/atom
! VASP energy   -81.5 eV/cell
&SYSTEM
  ibrav = 0, nat = 15, ntyp = 3
/
ATOMIC_SPECIES
Er 167.26 Er.upf
P 30.97 P.upf
Se 78.96 Se.upf
CELL_PARAMETERS angstrom
10.217 0.000 0.000
-5.108 8.848 0.000
0.000 0.000 4.037
ATOMIC_POSITIONS crystal
Er 0.028 0.733 0.261
Er 0.267 0.295 0.261
Er 0.295 0.028 0.739
Er 0.333 0.667 0.746
Er 0.667 0.333 0.254
Er 0.705 0.972 0.261
Er 0.733 0.705 0.739
Er 0.972 0.267 0.739
P 0.000 0.000 0.500
Se 0.128 0.476 0.246
Se 0.349 0.872 0.246
Se 0.476 0.349 0.754
Se 0.524 0.651 0.246
Se 0.651 0.128 0.754
Se 0.872 0.524 0.754

[5]
! Er4PSe3 PBE-GGA optimized geometry; values from VASP
! Uncorrected formation energy   -1328 kJ/mol of formula units
! Density of states at the Fermi level   1.538 states/eV/cell
! Total magnetic moment   0.00 μB/atom
! VASP energy   -47.9 eV/cell
&SYSTEM
  ibrav = 0, nat = 8, ntyp = 3
/
ATOMIC_SPECIES
Er 167.26 Er.upf
P 30.97 P.upf
Se 78.96 Se.upf
CELL_PARAMETERS angstrom
5.676 0.000 0.000
0.000 5.676 0.000
0.000 0.000 5.676
ATOMIC_POSITIONS crystal
Er 0.000 0.000 0.000
Er 0.000 0.500 0.500
Er 0.500 0.000 0.500
Er 0.500 0.500 0.000
P 0.500 0.500 0.500
Se 0.000 0.000 0.500
Se 0.000 0.500 0.000
Se 0.500 0.000 0.000

[6]
! Er2PSe PBE-GGA optimized geometry; values from VASP
! Uncorrected formation energy   -677 kJ/mol of formula units
! Density of states at the Fermi level   1.851 states/eV/cell
! Energy above the most stable polymorph in this dataset   0.11 kcal/mol of atoms
! Total magnetic moment   0.00 μB/atom
! VASP energy   -50.1 eV/cell
&SYSTEM
  ibrav = 0, nat = 8, ntyp = 3
/
ATOMIC_SPECIES
Er 167.26 Er.upf
P 30.97 P.upf
Se 78.96 Se.upf
CELL_PARAMETERS angstrom
3.986 0.000 0.000
0.000 5.644 0.000
0.000 0.000 8.086
ATOMIC_POSITIONS crystal
Er 0.250 0.250 0.110
Er 0.250 0.250 0.648
Er 0.750 0.750 0.352
Er 0.750 0.750 0.890
P 0.250 0.750 0.124
P 0.750 0.250 0.876
Se 0.250 0.750 0.620
Se 0.750 0.250 0.380

[7]
! Er5P2Se2 PBE-GGA optimized geometry; values from VASP
! Uncorrected formation energy   -1177 kJ/mol of formula units
! Density of states at the Fermi level   15.447 states/eV/cell
! Total magnetic moment   0.00 μB/atom
! VASP energy   -105.6 eV/cell
&SYSTEM
  ibrav = 0, nat = 18, ntyp = 3
/
ATOMIC_SPECIES
Er 167.26 Er.upf
P 30.97 P.upf
Se 78.96 Se.upf
CELL_PARAMETERS angstrom
7.105 -3.719 0.000
7.105 3.719 0.000
0.000 0.000 7.479
ATOMIC_POSITIONS crystal
Er 0.000 0.000 0.000
Er 0.027 0.712 0.656
Er 0.212 0.527 0.156
Er 0.288 0.973 0.656
Er 0.473 0.788 0.156
Er 0.500 0.500 0.500
Er 0.527 0.212 0.844
Er 0.712 0.027 0.344
Er 0.788 0.473 0.844
Er 0.973 0.288 0.344
P 0.147 0.853 0.356
P 0.353 0.647 0.856
P 0.647 0.353 0.144
P 0.853 0.147 0.644
Se 0.199 0.199 0.000
Se 0.301 0.301 0.500
Se 0.699 0.699 0.500
Se 0.801 0.801 0.000

[8]
! ErPSe4 PBE-GGA optimized geometry; values from VASP
! Uncorrected formation energy   -416 kJ/mol of formula units
! Density of states at the Fermi level   0.204 states/eV/cell
! Total magnetic moment   0.00 μB/atom
! VASP energy   -56.4 eV/cell
&SYSTEM
  ibrav = 0, nat = 12, ntyp = 3
/
ATOMIC_SPECIES
Er 167.26 Er.upf
P 30.97 P.upf
Se 78.96 Se.upf
CELL_PARAMETERS angstrom
0.000 6.377 6.914
3.772 0.000 6.914
3.772 6.377 0.000
ATOMIC_POSITIONS crystal
Er 0.125 0.125 0.125
Er 0.875 0.875 0.875
P 0.375 0.375 0.375
P 0.625 0.625 0.625
Se 0.142 0.756 0.394
Se 0.208 0.394 0.756
Se 0.244 0.858 0.792
Se 0.394 0.208 0.142
Se 0.606 0.792 0.858
Se 0.756 0.142 0.208
Se 0.792 0.606 0.244
Se 0.858 0.244 0.606